Entry 1:
# SCAN Sm3Ge5, PBEsol geometry
# Calculated formation energy = -6.61 eV/f.u.
# Total energy = -1882.960 eV for the cell shown
# D(E_F) = 0.36 states/eV/atom
data_Sm3Ge5
_chemical_formula_sum 'Sm24 Ge40'
_cell_length_a 5.790
_cell_length_b 17.375
_cell_length_c 13.800
_cell_angle_alpha 90.00
_cell_angle_beta 90.00
_cell_angle_gamma 90.00
_space_group_name_H-M_alt 'F d d 2'
_space_group_IT_number 43
_space_group_name_Hall 'F 2 -2d'
loop_
_atom_site_label
_atom_site_type_symbol
_atom_site_fract_x
_atom_site_fract_y
_atom_site_fract_z
_atom_site_occupancy
Sm1 Sm 0.000 0.000 0.000 1
Sm2 Sm 0.009 0.169 0.507 1
Ge1 Ge 0.000 0.000 0.450 1
Ge2 Ge 0.008 0.337 0.587 1
Ge3 Ge 0.048 0.181 0.906 1

Entry 2:
# SCAN Sm3Ge5, PBEsol geometry
# Calculated formation energy = -6.65 eV/f.u.
# Total energy = -470.823 eV for the cell shown
# D(E_F) = 0.27 states/eV/atom
data_Sm3Ge5
_chemical_formula_sum 'Sm6 Ge10'
_cell_length_a 6.8944
_cell_length_b 6.8944
_cell_length_c 8.4304
_cell_angle_alpha 90.00
_cell_angle_beta 90.00
_cell_angle_gamma 120.00
_space_group_name_H-M_alt 'P -6 2 c'
_space_group_IT_number 190
_space_group_name_Hall 'P -6c -2c'
loop_
_atom_site_label
_atom_site_type_symbol
_atom_site_fract_x
_atom_site_fract_y
_atom_site_fract_z
_atom_site_occupancy
Sm1 Sm 0.0000 0.3307 0.0000 1
Ge1 Ge 0.0000 0.0000 0.2500 1
Ge2 Ge 0.0668 0.6684 0.2500 1
Ge3 Ge 0.3333 0.6667 0.7500 1

Entry 3:
# SCAN SmGe2, PBEsol geometry
# Calculated formation energy = -2.01 eV/f.u.
# Total energy = -338.503 eV for the cell shown
# D(E_F) = 0.28 states/eV/atom
data_SmGe2
_chemical_formula_sum 'Sm4 Ge8'
_cell_length_a 4.000
_cell_length_b 4.000
_cell_length_c 16.235
_cell_angle_alpha 90.00
_cell_angle_beta 90.00
_cell_angle_gamma 90.00
_space_group_name_H-M_alt 'I 41/a m d'
_space_group_IT_number 141
loop_
_space_group_symop_operation_xyz
'x,y,z'
'-x,-y,-z'
'-y+1/4,x+3/4,z+1/4'
'y+1/4,-x+3/4,-z+1/4'
'-x+1/2,-y,z+1/2'
'x+1/2,y,-z+1/2'
'y+1/4,-x+1/4,z+3/4'
'-y+1/4,x+1/4,-z+3/4'
'x,-y,-z'
'-x,y,z'
'-y+1/4,-x+1/4,-z+3/4'
'y+1/4,x+1/4,z+3/4'
'-x+1/2,y,-z+1/2'
'x+1/2,-y,z+1/2'
'y+1/4,x+3/4,-z+1/4'
'-y+1/4,-x+3/4,z+1/4'
'x+1/2,y+1/2,z+1/2'
'-x+1/2,-y+1/2,-z+1/2'
'-y+3/4,x+1/4,z+3/4'
'y+3/4,-x+1/4,-z+3/4'
'-x,-y+1/2,z'
'x,y+1/2,-z'
'y+3/4,-x+3/4,z+1/4'
'-y+3/4,x+3/4,-z+1/4'
'x+1/2,-y+1/2,-z+1/2'
'-x+1/2,y+1/2,z+1/2'
'-y+3/4,-x+3/4,-z+1/4'
'y+3/4,x+3/4,z+1/4'
'-x,y+1/2,-z'
'x,-y+1/2,z'
'y+3/4,x+1/4,-z+3/4'
'-y+3/4,-x+1/4,z+3/4'
loop_
_atom_site_label
_atom_site_type_symbol
_atom_site_fract_x
_atom_site_fract_y
_atom_site_fract_z
_atom_site_occupancy
Sm1 Sm 0.000 0.250 0.375 1
Ge1 Ge 0.000 0.250 0.796 1

Entry 4:
# SCAN Sm4Ge7, PBEsol geometry
# Calculated formation energy = -8.86 eV/f.u.
# Total energy = -1280.973 eV for the cell shown
# D(E_F) = 0.31 states/eV/atom
data_Sm4Ge7
_chemical_formula_sum 'Sm16 Ge28'
_cell_length_a 5.865
_cell_length_b 13.719
_cell_length_c 11.731
_cell_angle_alpha 90.00
_cell_angle_beta 90.00
_cell_angle_gamma 90.00
_space_group_name_H-M_alt 'C 2 2 21'
_space_group_IT_number 20
_space_group_name_Hall 'C 2c 2'
loop_
_atom_site_label
_atom_site_type_symbol
_atom_site_fract_x
_atom_site_fract_y
_atom_site_fract_z
_atom_site_occupancy
Sm1 Sm 0.000 0.005 0.250 1
Sm2 Sm 0.016 0.500 0.000 1
Sm3 Sm 0.236 0.255 0.620 1
Ge1 Ge 0.000 0.442 0.750 1
Ge2 Ge 0.019 0.089 0.989 1
Ge3 Ge 0.170 0.354 0.336 1
Ge4 Ge 0.246 0.327 0.871 1